18
Lattice="10.167 -3.515 0.000 10.167 3.515 0.000 0.000 0.000 7.008" Properties=species:S:1:pos:R:3 comment="Pm2Y5Ni2 | Alexandria | GGA-PBE | optimized geometry" dos_ef_per_ev_cell=25.375 total_magnetization_mub_per_cell=0.00 pbc="T T T"
Pm 4.706 0.000 0.000
Pm 5.461 0.000 3.504
Pm 14.873 0.000 3.504
Pm 15.627 0.000 0.000
Y 0.000 0.000 0.000
Y 7.975 2.269 4.724
Y 7.975 1.245 1.220
Y 12.359 2.269 4.724
Y 12.359 1.245 1.220
Y 10.167 0.000 3.504
Y 7.975 -1.245 5.788
Y 7.975 -2.269 2.284
Y 12.359 -1.245 5.788
Y 12.359 -2.269 2.284
Ni 10.167 2.677 2.669
Ni 10.167 0.838 6.173
Ni 10.167 -0.838 0.835
Ni 10.167 -2.677 4.339


12
Lattice="3.596 0.000 0.000 -1.798 3.114 0.000 0.000 0.000 31.549" Properties=species:S:1:pos:R:3 comment="PmY2Ni | Alexandria | GGA-PBE | optimized geometry" dos_ef_per_ev_cell=20.417 total_magnetization_mub_per_cell=0.00 pbc="T T T"
Pm 0.000 0.000 0.000
Pm 0.000 2.076 21.033
Pm 1.798 1.038 10.516
Y 0.000 0.000 3.514
Y 0.000 0.000 28.035
Y 0.000 2.076 17.519
Y 0.000 2.076 24.547
Y 1.798 1.038 7.002
Y 1.798 1.038 14.030
Ni 0.000 0.000 15.774
Ni 0.000 2.076 5.258
Ni 1.798 1.038 26.291


9
Lattice="6.926 0.000 0.000 -3.463 5.998 0.000 0.000 0.000 3.908" Properties=species:S:1:pos:R:3 comment="Pm2YNi6 | Alexandria | GGA-PBE | optimized geometry" dos_ef_per_ev_cell=9.818 total_magnetization_mub_per_cell=0.78 pbc="T T T"
Pm 0.000 3.999 0.000
Pm 3.463 1.999 0.000
Y 0.000 0.000 0.000
Ni -1.150 1.992 1.954
Ni -2.313 4.006 1.954
Ni 2.301 0.000 1.954
Ni 1.150 1.992 1.954
Ni 4.626 0.000 1.954
Ni 2.313 4.006 1.954


14
Lattice="7.600 0.000 0.000 0.000 6.572 0.000 -3.204 0.000 7.482" Properties=species:S:1:pos:R:3 comment="Pm4YNi2 | Alexandria | GGA-PBE | optimized geometry" dos_ef_per_ev_cell=17.681 total_magnetization_mub_per_cell=0.00 pbc="T T T"
Pm -1.047 1.643 2.858
Pm 0.816 4.929 2.614
Pm 0.637 0.053 5.764
Pm 0.637 3.233 5.764
Pm 3.759 3.339 1.719
Pm 3.759 6.519 1.719
Pm 3.580 1.643 4.868
Pm 5.443 4.929 4.624
Y 1.025 1.643 0.218
Y 3.370 4.929 7.264
Ni -1.293 4.929 7.466
Ni 1.574 1.643 2.998
Ni 2.822 4.929 4.485
Ni 5.689 1.643 0.017


5
Lattice="5.443 0.000 0.000 0.000 5.443 0.000 0.000 0.000 5.443" Properties=species:S:1:pos:R:3 comment="Pm3YNi | Alexandria | GGA-PBE | optimized geometry" dos_ef_per_ev_cell=11.254 total_magnetization_mub_per_cell=0.89 pbc="T T T"
Pm 0.000 0.000 2.721
Pm 0.000 2.721 0.000
Pm 2.721 0.000 0.000
Y 2.721 2.721 2.721
Ni 0.000 0.000 0.000


6
Lattice="3.685 0.000 0.000 -0.009 6.970 0.000 -1.835 -3.452 6.037" Properties=species:S:1:pos:R:3 comment="PmYNi | Alexandria | GGA-PBE | optimized geometry" dos_ef_per_ev_cell=6.045 total_magnetization_mub_per_cell=0.00 pbc="T T T"
Pm 0.000 0.023 2.691
Pm 1.841 3.495 3.346
Y 0.003 -1.663 6.026
Y 1.838 5.181 0.010
Ni -0.003 3.476 1.328
Ni 1.844 0.042 4.709


10
Lattice="1.928 -12.376 0.000 1.928 12.376 0.000 0.000 0.000 4.012" Properties=species:S:1:pos:R:3 comment="PmYNi3 | Alexandria | GGA-PBE | optimized geometry" dos_ef_per_ev_cell=9.117 total_magnetization_mub_per_cell=0.00 pbc="T T T"
Pm 1.928 7.418 3.009
Pm 1.928 -7.418 1.003
Y 1.928 10.676 1.003
Y 1.928 -10.676 3.009
Ni 1.928 4.189 3.009
Ni 1.928 2.870 1.003
Ni 1.928 0.572 1.003
Ni 1.928 -0.572 3.009
Ni 1.928 -2.870 3.009
Ni 1.928 -4.189 1.003


19
Lattice="-5.047 5.047 5.047 5.047 -5.047 5.047 5.047 5.047 -5.047" Properties=species:S:1:pos:R:3 comment="Pm12YNi6 | Alexandria | GGA-PBE | optimized geometry" dos_ef_per_ev_cell=25.335 total_magnetization_mub_per_cell=0.00 pbc="T T T"
Pm 5.047 3.180 -1.899
Pm 3.148 0.000 1.867
Pm 6.946 0.000 1.867
Pm 1.867 3.148 0.000
Pm 3.180 -1.899 5.047
Pm 0.000 1.867 3.148
Pm 5.047 3.180 1.899
Pm 1.867 6.946 0.000
Pm 3.180 1.899 5.047
Pm -1.899 5.047 3.180
Pm 1.899 5.047 3.180
Pm 0.000 1.867 6.946
Y 0.000 0.000 0.000
Ni 5.047 1.224 0.000
Ni 5.047 0.000 3.823
Ni 3.823 5.047 0.000
Ni 1.224 0.000 5.047
Ni 0.000 5.047 1.224
Ni 0.000 3.823 5.047


no.,formation energy (eV per atom)
1,-0.132
2,0.078
3,-0.348
4,-0.092
5,0.039
6,-0.242
7,-0.366
8,-0.185